1.
Be2ReBr | Alexandria via LeMat-Bulk | GGA-PBE | optimized geometry; uncorrected formation energy = 1.244 eV/atom; total energy = -0.152 Ha/atom; offset from the most stable computed form = 3.45 eV per formula unit; SG = F-43m (216)
1.0
0.0000 2.9925 2.9925
2.9925 0.0000 2.9925
2.9925 2.9925 0.0000
Be Re Br
2 1 1
Cartesian
0.0000 0.0000 0.0000
1.4962 1.4962 1.4962
4.4887 4.4887 4.4887
2.9925 2.9925 2.9925

---

2.
CsY2NbNi | Alexandria via LeMat-Bulk | GGA-PBE | optimized geometry; total energy = -0.152 Ha/atom; SG = P4/mmm (123); E_form = 171.9 kJ/mol of atoms
1.0
5.6019 0.0000 0.0000
0.0000 5.6019 0.0000
0.0000 0.0000 4.6059
Cs Y Nb Ni
1 2 1 1
Cartesian
0.0000 0.0000 0.0000
0.0000 2.8010 0.0000
2.8010 0.0000 0.0000
2.8010 2.8010 2.3029
0.0000 0.0000 2.3029

---

3.
PtWCl2 | Alexandria via LeMat-Bulk | GGA-PBE | optimized geometry; uncorrected formation energy = 1.121 eV/atom; total energy = -0.167 Ha/atom; offset from the most stable computed form = 5.12 eV per formula unit; SG = P4/mmm (123)
1.0
4.1104 0.0000 0.0000
0.0000 4.1104 0.0000
0.0000 0.0000 4.0835
Pt W Cl
1 1 2
Cartesian
0.0000 0.0000 0.0000
2.0552 2.0552 0.0000
0.0000 2.0552 2.0418
2.0552 0.0000 2.0418

---

4.
TcTe2IrN | Alexandria via LeMat-Bulk | GGA-PBE | optimized geometry; uncorrected formation energy = 0.744 eV/atom; total energy = -0.221 Ha/atom; offset from the most stable computed form = 0.00 eV per formula unit; SG = P4/mmm (123)
1.0
5.2578 0.0000 0.0000
0.0000 5.2578 0.0000
0.0000 0.0000 3.6409
Tc Te Ir N
1 2 1 1
Cartesian
0.0000 0.0000 0.0000
0.0000 2.6289 0.0000
2.6289 0.0000 0.0000
2.6289 2.6289 1.8205
0.0000 0.0000 1.8205

---

5.
Dy3GeTe2 | Alexandria via LeMat-Bulk | GGA-PBE | optimized geometry; uncorrected formation energy = -1.277 eV/atom; total energy = -0.198 Ha/atom; offset from the most stable computed form = 0.00 eV per formula unit; SG = Fddd (70)
1.0
0.0000 6.0877 12.8570
4.3196 0.0000 12.8570
4.3196 6.0877 0.0000
Dy Ge Te
12 4 8
Cartesian
3.1272 1.3677 7.3742
5.6346 4.5658 9.6428
3.3522 1.3677 11.9113
5.5120 4.4115 13.8027
7.7945 7.6097 16.0713
5.2870 4.4115 18.3398
3.3522 7.7639 7.3742
0.8448 4.5658 9.6428
3.1272 7.7639 11.9113
5.2870 10.8078 13.8027
3.0046 7.6097 16.0713
5.5120 10.8078 18.3398
1.0799 1.5219 1.0651
1.0799 1.5219 5.3635
7.5593 10.6535 20.3506
7.5593 10.6535 24.6490
3.2397 4.5658 3.2950
3.2397 4.5658 7.5742
5.3995 7.6097 9.7235
3.2397 4.5658 11.7113
5.3995 7.6097 14.0027
3.2397 4.5658 15.9905
5.3995 7.6097 18.1398
5.3995 7.6097 22.4190

---

6.
LaCrIrOs2 | Alexandria via LeMat-Bulk | GGA-PBE | optimized geometry; total energy = -0.290 Ha/atom; SG = P4/mmm (123); E_form = 123.3 kJ/mol of atoms
1.0
4.4575 0.0000 0.0000
0.0000 4.4575 0.0000
0.0000 0.0000 4.9299
La Cr Ir Os
1 1 1 2
Cartesian
0.0000 0.0000 0.0000
0.0000 0.0000 2.4649
2.2287 2.2287 0.0000
0.0000 2.2287 2.4649
2.2287 0.0000 2.4649

---

7.
YHoTe2S | Alexandria via LeMat-Bulk | GGA-PBE | optimized geometry; uncorrected formation energy = -1.455 eV/atom; total energy = -0.211 Ha/atom; SG = P4/nmm (129)
1.0
4.3884 0.0000 0.0000
0.0000 4.3884 0.0000
0.0000 0.0000 15.6336
Y Ho Te S
2 2 4 2
Cartesian
1.0971 1.0971 1.5706
3.2913 3.2913 14.0630
1.0971 1.0971 9.6032
3.2913 3.2913 6.0304
1.0971 1.0971 6.3842
1.0971 1.0971 12.4984
3.2913 3.2913 3.1352
3.2913 3.2913 9.2494
1.0971 3.2913 0.0000
3.2913 1.0971 0.0000

---

8.
GdHoInPt | Alexandria via LeMat-Bulk | GGA-PBE | optimized geometry; total energy = -0.279 Ha/atom; SG = F-43m (216); E_form = -71.4 kJ/mol of atoms
1.0
0.0000 3.6371 3.6371
3.6371 0.0000 3.6371
3.6371 3.6371 0.0000
Gd Ho In Pt
1 1 1 1
Cartesian
0.0000 0.0000 0.0000
3.6371 3.6371 3.6371
1.8185 1.8185 1.8185
5.4556 5.4556 5.4556

---

9.
YH8Ir2Rh | Alexandria via LeMat-Bulk | GGA-PBE | optimized geometry; total energy = -0.184 Ha/atom; SG = R-3 (148)
1.0
2.3226 1.3410 5.5990
-2.3226 1.3410 5.5990
0.0000 -2.6819 5.5990
Y H Ir Rh
1 8 2 1
Cartesian
0.0000 0.0000 0.0000
-0.6142 -1.3073 7.3489
-1.4393 -0.1218 9.4481
0.0000 0.0000 5.3820
-0.8251 1.1856 7.3489
0.8251 -1.1856 9.4481
0.0000 0.0000 11.4150
1.4393 0.1218 7.3489
0.6142 1.3073 9.4481
0.0000 0.0000 3.7759
0.0000 0.0000 13.0210
0.0000 0.0000 8.3985

---

10.
TmIn2F4 | Alexandria via LeMat-Bulk | GGA-PBE | optimized geometry; uncorrected formation energy = -2.816 eV/atom; total energy = -0.195 Ha/atom; SG = I4/mmm (139)
1.0
-2.1582 2.1582 9.0512
2.1582 -2.1582 9.0512
2.1582 2.1582 -9.0512
Tm In F
1 2 4
Cartesian
0.0000 0.0000 0.0000
0.0000 0.0000 4.3563
0.0000 0.0000 13.7460
2.1582 0.0000 0.0000
0.0000 0.0000 2.1400
0.0000 2.1582 0.0000
0.0000 0.0000 15.9624

---

11.
Ho2CdAg4 | Alexandria via LeMat-Bulk | GGA-PBE | optimized geometry; total energy = -0.120 Ha/atom; SG = R-3m (166); E_form = -19.0 kJ/mol of atoms
1.0
2.4949 1.4404 7.0015
-2.4949 1.4404 7.0015
0.0000 -2.8808 7.0015
Ho Cd Ag
2 1 4
Cartesian
0.0000 0.0000 4.7030
0.0000 0.0000 16.3015
0.0000 0.0000 10.5023
0.0000 0.0000 1.4361
0.0000 0.0000 7.6423
0.0000 0.0000 13.3622
0.0000 0.0000 19.5684

---

12.
Ca3Pa3RhN8 | Alexandria via LeMat-Bulk | GGA-PBE | optimized geometry; uncorrected formation energy = -1.137 eV/atom; total energy = -0.307 Ha/atom; SG = R-3m (166)
1.0
3.4462 1.9896 5.6511
-3.4462 1.9896 5.6511
0.0000 -3.9793 5.6511
Ca Pa Rh N
3 3 1 8
Cartesian
-1.7231 -0.9948 5.6511
-1.7231 0.9948 11.3021
0.0000 1.9896 5.6511
-3.4462 0.0000 8.4766
-1.7231 0.9948 2.8255
1.7231 0.9948 2.8255
0.0000 0.0000 8.4766
-1.7146 -0.9899 9.6091
0.0000 0.0000 4.1027
0.0000 -1.9798 7.3441
-1.7146 0.9899 7.3441
1.7146 -0.9899 9.6091
0.0000 1.9798 9.6091
0.0000 0.0000 12.8505
1.7146 0.9899 7.3441